Density functional theory data (SCAN) for a PBEsol-optimized structure of CrCdP.

Properties
energy: -58.85 eV per cell
energy of formation from the pure elements: 114 meV/atom

Unit cell a=4.2462 b=4.2462 c=4.2462 alpha=60.00 beta=60.00 gamma=60.00
Sites, in units of the cell vectors:
P 0.0000 0.0000 0.0000
Cd 0.5000 0.5000 0.5000
Cr 0.2500 0.2500 0.2500

Density functional theory data (SCAN) for a PBEsol-optimized structure of CrCdP2.

Properties
energy: -69.29 eV per cell
energy of formation from the pure elements: 77 meV/atom

Unit cell a=3.0918 b=4.0842 c=5.2869 alpha=99.07 beta=90.00 gamma=112.24
Sites, in units of the cell vectors:
P 0.2240 0.4480 0.1640
P 0.7760 0.5520 0.8360
Cr 0.5000 0.0000 0.0000
Cd 0.0000 0.0000 0.5000

Density functional theory data (SCAN) for a PBEsol-optimized structure of Cr2CdP.

Properties
energy: -76.10 eV per cell
energy of formation from the pure elements: 371 meV/atom

Unit cell a=3.1978 b=4.5527 c=4.6996 alpha=118.97 beta=109.89 gamma=90.00
Sites, in units of the cell vectors:
Cr 0.1995 0.1995 0.3990
Cr 0.8005 0.8005 0.6010
Cd 0.0000 0.5000 0.0000
P 0.5000 0.0000 0.0000

Density functional theory data (SCAN) for a PBEsol-optimized structure of CrCdRe2P.

Properties
energy: -191.98 eV per cell
energy of formation from the pure elements: 1883 meV/atom

Unit cell a=4.3861 b=4.3861 c=4.8260 alpha=90.00 beta=90.00 gamma=90.00
Sites, in units of the cell vectors:
Cr 0.0000 0.0000 0.0000
Cd 0.0000 0.0000 0.5000
Re 0.5000 0.0000 0.0000
Re 0.0000 0.5000 0.0000
P 0.5000 0.5000 0.5000

Density functional theory data (SCAN) for a PBEsol-optimized structure of CrCdTeP2.

Properties
ΔE_f (raw): 0.218 eV per atom
energy: -105.76 eV per cell

Unit cell a=4.2758 b=4.2758 c=5.7647 alpha=90.00 beta=90.00 gamma=90.00
Sites, in units of the cell vectors:
Te 0.0000 0.0000 0.5000
Cd 0.5000 0.5000 0.5000
P 0.0000 0.5000 0.0000
P 0.5000 0.0000 0.0000
Cr 0.0000 0.0000 0.0000

Density functional theory data (SCAN) for a PBEsol-optimized structure of CrCd2Pb.

Properties
energy: -154.27 eV per cell
energy of formation from the pure elements: 181 meV/atom

Unit cell a=3.1618 b=4.7485 c=6.3081 alpha=112.11 beta=104.51 gamma=90.00
Sites, in units of the cell vectors:
Pb 0.0000 0.5000 0.0000
Cd 0.7862 0.7862 0.5724
Cd 0.2138 0.2138 0.4276
Cr 0.5000 0.0000 0.0000

The magnetic moment results, record by record, are as follows: 3.7 1.7 0.0 0.0 1.0 3.7 μB/f.u..
The DOS(E_F) results, record by record, are as follows: 0.45 0.57 0.74 0.97 0.40 0.45 states/eV/atom.